An optimized crystal structure of Sr3SnI3. Source: Alexandria via LeMat-Bulk, functional GGA-PBE.

Results
Space group ... I4_132 (214)
Magnetization ... 0.01 μB/cell
Electronic total energy ... -3.221 eV per atom

Cell lengths 11.6962, 11.6962, 11.6962 Å; angles 109.47, 109.47, 109.47 degrees
With the nearest neighbours (Å) after each atom.
Fractional coordinates of all 28 atoms:
1 Sr 0.7469 0.4939 0.4969  2 Sn 3.34, 4 I 3.41-3.42
2 Sr 0.7469 0.2531 0.7500  2 Sn 3.34, 4 I 3.41-3.42
3 Sr 0.9969 0.7500 0.0031  2 Sn 3.34, 4 I 3.41-3.42
4 Sr 0.5061 0.2531 0.0031  2 Sn 3.34, 4 I 3.41-3.42
5 Sr 0.5031 0.0061 0.2531  2 Sn 3.34, 4 I 3.41-3.42
6 Sr 0.9939 0.4969 0.2469  2 Sn 3.34, 4 I 3.41-3.42
7 Sr 0.7531 0.7500 0.2469  2 Sn 3.34, 4 I 3.41-3.42
8 Sr 0.7531 0.0031 0.0061  2 Sn 3.34, 4 I 3.41-3.42
9 Sr 0.2500 0.2469 0.2531  2 Sn 3.34, 4 I 3.41-3.42
10 Sr 0.9969 0.2469 0.4939  2 Sn 3.34, 4 I 3.41-3.42
11 Sr 0.5031 0.4969 0.7500  2 Sn 3.34, 4 I 3.41-3.42
12 Sr 0.2500 0.0031 0.4969  2 Sn 3.34, 4 I 3.41-3.42
13 I 0.4978 0.9955 0.7478  4 Sr 3.41-3.42
14 I 0.2478 0.2500 0.7522  4 Sr 3.41-3.42
15 I 0.0045 0.5022 0.7522  4 Sr 3.41-3.42
16 I 0.4978 0.5022 0.2500  4 Sr 3.41-3.42
17 I 0.0022 0.7522 0.5045  4 Sr 3.41-3.42
18 I 0.2478 0.9978 0.9955  4 Sr 3.41-3.42
19 I 0.2522 0.5045 0.5022  4 Sr 3.41-3.42
20 I 0.0022 0.2500 0.9978  4 Sr 3.41-3.42
21 I 0.2522 0.7478 0.2500  4 Sr 3.41-3.42
22 I 0.4955 0.7478 0.9978  4 Sr 3.41-3.42
23 I 0.7500 0.7522 0.7478  4 Sr 3.41-3.42
24 I 0.7500 0.9978 0.5022  4 Sr 3.41-3.42
25 Sn 0.5000 0.2500 0.5000  6 Sr 3.34
26 Sn 0.0000 0.0000 0.2500  6 Sr 3.34
27 Sn 0.7500 0.5000 0.0000  6 Sr 3.34
28 Sn 0.7500 0.2500 0.2500  6 Sr 3.34